Crystalline K2SrY at its relaxed geometry, computed with GGA-PBE.

CIF file:
```
data_K2SrY
_chemical_formula_sum 'K6 Sr3 Y3'
_space_group_name_H-M_alt 'R 3 m'
_space_group_IT_number 160
_space_group_name_Hall 'R 3 -2"'
_cell_length_a 4.0590
_cell_length_b 4.0590
_cell_length_c 43.3361
_cell_angle_alpha 90.00
_cell_angle_beta 90.00
_cell_angle_gamma 120.00
loop_
_atom_site_label
_atom_site_type_symbol
_atom_site_fract_x
_atom_site_fract_y
_atom_site_fract_z
K1 K 0.0000 0.0000 0.0000
K2 K 0.0000 0.0000 0.2381
Sr1 Sr 0.0000 0.0000 0.4821
Y1 Y 0.0000 0.0000 0.7464
```

Computed properties:
Density of states at the Fermi level: 4.42 states/eV/f.u.
Total moment: 1.07 μB per formula unit
Energy relative to the elements: 0.2578 eV per atom
Polymorph energy (0 for the lowest one): 0 meV per atom